A relaxed LaFe2BC crystal. Source: Alexandria via LeMat-Bulk, functional PBE-GGA.

Geometry as POSCAR:
```
LaFe2BC
1.0
3.819 0.000 0.000
-1.910 5.007 0.000
0.000 0.000 6.720
B La Fe C
2 2 4 2
direct
0.734 0.468 0.750
0.266 0.532 0.250
0.547 0.094 0.250
0.453 0.906 0.750
0.178 0.357 0.559
0.822 0.643 0.059
0.178 0.357 0.941
0.822 0.643 0.441
0.000 0.000 0.000
0.000 0.000 0.500
```

Summary:
Symmetry: Cmcm, No. 63
Energy of formation: -0.040 eV per atom


A relaxed ZrNp2S3 crystal. Source: Alexandria via LeMat-Bulk, functional PBE-GGA.

Geometry as POSCAR:
```
ZrNp2S3
1.0
-1.921 1.921 8.058
1.921 -1.921 8.058
1.921 1.921 -8.058
Np S Zr
2 3 1
direct
0.337 0.337 0.000
0.663 0.663 0.000
0.165 0.165 0.000
0.835 0.835 0.000
0.500 0.500 0.000
0.000 0.000 0.000
```

Summary:
Symmetry: I4/mmm, No. 139
ΔE_f (raw): -1.397 eV/atom


A relaxed K2NaBi2Au crystal. Source: Alexandria via LeMat-Bulk, functional PBE-GGA.

Geometry as POSCAR:
```
K2NaBi2Au
1.0
-2.796 -6.505 -1.931
6.820 -2.426 -1.700
-1.082 1.850 9.278
Na Au Bi K
2 2 4 4
direct
0.000 0.250 0.000
0.000 0.750 0.000
0.500 0.750 0.000
0.500 0.250 0.000
0.387 0.598 0.197
0.191 0.902 0.803
0.613 0.402 0.803
0.809 0.098 0.197
0.083 0.335 0.670
0.413 0.165 0.330
0.587 0.835 0.670
0.917 0.665 0.330
```

Summary:
Symmetry: Ibam, No. 72
Energy of formation: -0.269 eV per atom


A relaxed AlRu3W crystal. Source: Alexandria via LeMat-Bulk, functional PBE-GGA.

Geometry as POSCAR:
```
AlRu3W
1.0
-3.977 -1.660 -0.228
1.468 -3.735 1.586
-0.807 1.384 4.007
Ru W Al
3 1 1
direct
0.000 0.500 0.000
0.500 0.000 0.000
0.000 0.000 0.500
0.500 0.500 0.500
0.000 0.000 0.000
```

Summary:
Symmetry: Pm-3m, No. 221
Energy of formation: 1.136 eV per atom
Polymorph energy (0 for the lowest one): 0 meV per atom


A relaxed CaPtRhO4 crystal. Source: Alexandria via LeMat-Bulk, functional PBE-GGA.

Geometry as POSCAR:
```
CaPtRhO4
1.0
6.090 0.000 0.000
-3.045 6.097 0.141
0.000 -3.167 5.208
O Pt Ca Rh
8 2 2 2
direct
0.239 0.894 0.697
0.656 0.894 0.697
0.218 0.435 0.261
0.218 0.435 0.674
0.344 0.106 0.303
0.782 0.565 0.326
0.761 0.106 0.303
0.782 0.565 0.739
0.500 0.000 0.000
0.500 0.000 0.500
0.094 0.187 0.844
0.906 0.813 0.156
0.500 0.500 0.500
0.000 0.500 0.500
```

Summary:
Symmetry: Imma, No. 74
ΔE_f (raw): -1.180 eV/atom


A relaxed BaIr2Br crystal. Source: Alexandria via LeMat-Bulk, functional PBE-GGA.

Geometry as POSCAR:
```
BaIr2Br
1.0
3.587 0.000 0.000
0.000 3.507 -0.004
0.000 2.700 8.456
Ba Ir Br
1 2 1
direct
0.000 0.542 0.482
0.000 0.828 0.113
0.500 0.268 0.188
0.500 0.862 0.716
```

Summary:
Symmetry: Pm, No. 6
ΔE_f (raw): -0.086 eV/atom
Polymorph energy (0 for the lowest one): 107 meV per atom